1.
# YBN2O, relaxed, DFT GGA-PBE
data_YBN2O
_chemical_formula_sum 'Y1 B1 N2 O1'
_cell_length_a 4.634
_cell_length_b 4.634
_cell_length_c 4.327
_cell_angle_alpha 90.00
_cell_angle_beta 90.00
_cell_angle_gamma 90.00
_space_group_name_H-M_alt 'P 1'
_space_group_IT_number 1
_space_group_name_Hall 'P 1'
loop_
_atom_site_label
_atom_site_type_symbol
_atom_site_fract_x
_atom_site_fract_y
_atom_site_fract_z
B1 B 0.500 0.500 0.500
N1 N 0.000 0.500 0.000
N2 N 0.500 0.000 0.000
O1 O 0.000 0.000 0.500
Y1 Y 0.000 0.000 0.000
# Size of the total moment = 0.8002 μB per atom
# Formation energy without anion corrections = 1.396 eV per atom
# DFT total energy = -5.554 eV/atom
# Volume = 93 Å³/cell

---

2.
# YBN2O, relaxed, DFT GGA-PBE
data_YBN2O
_chemical_formula_sum 'Y1 B1 N2 O1'
_cell_length_a 3.215
_cell_length_b 3.215
_cell_length_c 4.642
_cell_angle_alpha 90.00
_cell_angle_beta 90.00
_cell_angle_gamma 90.00
_space_group_name_H-M_alt 'P 1'
_space_group_IT_number 1
_space_group_name_Hall 'P 1'
loop_
_atom_site_label
_atom_site_type_symbol
_atom_site_fract_x
_atom_site_fract_y
_atom_site_fract_z
Y1 Y 0.500 0.500 0.500
O1 O 0.000 0.000 0.500
N1 N 0.000 0.500 0.000
N2 N 0.500 0.000 0.000
B1 B 0.000 0.000 0.000
# Size of the total moment = 0.0000 μB per atom
# Formation energy without anion corrections = -0.705 eV per atom
# DFT total energy = -7.655 eV/atom
# Volume = 48 Å³/cell

---

3.
# ZnBNO2, relaxed, DFT GGA-PBE
data_ZnBNO2
_chemical_formula_sum 'Zn1 B1 N1 O2'
_cell_length_a 3.920
_cell_length_b 3.920
_cell_length_c 3.915
_cell_angle_alpha 90.00
_cell_angle_beta 90.00
_cell_angle_gamma 90.00
_space_group_name_H-M_alt 'P 1'
_space_group_IT_number 1
_space_group_name_Hall 'P 1'
loop_
_atom_site_label
_atom_site_type_symbol
_atom_site_fract_x
_atom_site_fract_y
_atom_site_fract_z
O1 O 0.000 0.500 0.000
O2 O 0.500 0.000 0.000
N1 N 0.000 0.000 0.500
B1 B 0.500 0.500 0.500
Zn1 Zn 0.000 0.000 0.000
# Size of the total moment = 0.6607 μB per atom
# Formation energy without anion corrections = 1.606 eV per atom
# DFT total energy = -3.633 eV/atom
# Volume = 60 Å³/cell

---

4.
# ZnBNO2, relaxed, DFT GGA-PBE
data_ZnBNO2
_chemical_formula_sum 'Zn1 B1 N1 O2'
_cell_length_a 3.802
_cell_length_b 3.802
_cell_length_c 2.869
_cell_angle_alpha 90.00
_cell_angle_beta 90.00
_cell_angle_gamma 90.00
_space_group_name_H-M_alt 'P 1'
_space_group_IT_number 1
_space_group_name_Hall 'P 1'
loop_
_atom_site_label
_atom_site_type_symbol
_atom_site_fract_x
_atom_site_fract_y
_atom_site_fract_z
N1 N 0.000 0.000 0.500
O1 O 0.500 0.000 0.000
O2 O 0.000 0.500 0.000
Zn1 Zn 0.500 0.500 0.500
B1 B 0.000 0.000 0.000
# Size of the total moment = 0.0795 μB per atom
# Formation energy without anion corrections = 0.033 eV per atom
# DFT total energy = -5.205 eV/atom
# Volume = 41 Å³/cell